Computed, not measured: a geometry-optimized Cd3Te structure at the PBE-GGA level of DFT.

Results
Symmetry: Imm2
Total energy, eV per atom: -1.459
Density, g/cm³: 7.14
Energy above the lowest structure with this stoichiometry, eV/f.u.: 0.45
ΔE_f (raw), eV per atom: 0.01

Cell lengths 6.911, 6.911, 6.911 Å; angles 153.09, 133.32, 54.70 degrees
Fractional coordinates of all 4 atoms:
Cd: 0.835 0.001 0.834
Cd: 0.333 0.499 0.834
Cd: 0.083 0.250 0.833
Te: 0.583 0.750 0.833